# 1
This record from the Alexandria database describes crystalline NdPuTl at its relaxed geometry. The functional is PBE.

Cell: 3.748 3.748 12.844 Å, 90.00 90.00 90.00°
Atoms (fractional coordinates):
1 Nd 0.000 0.000 0.000
2 Nd 0.500 0.500 0.500
3 Pu 0.000 0.000 0.315
4 Pu 0.500 0.500 0.815
5 Tl 0.000 0.000 0.661
6 Tl 0.500 0.500 0.161

DFT formation energy in eV per atom: -0.03

# 2
This record from the Alexandria database describes crystalline NdPuTl at its relaxed geometry. The functional is PBE.

Cell: 3.509 5.604 18.258 Å, 90.00 90.00 90.00°
Atoms (fractional coordinates):
1 Nd 0.000 0.000 0.181
2 Nd 0.000 0.000 0.819
3 Nd 0.500 0.500 0.319
4 Nd 0.500 0.500 0.681
5 Pu 0.000 0.249 0.000
6 Pu 0.000 0.751 0.000
7 Pu 0.500 0.251 0.500
8 Pu 0.500 0.749 0.500
9 Tl 0.000 0.000 0.363
10 Tl 0.000 0.000 0.637
11 Tl 0.500 0.500 0.137
12 Tl 0.500 0.500 0.863

DFT formation energy in eV per atom: -0.01

# 3
This record from the Alexandria database describes crystalline NdPuTl at its relaxed geometry. The functional is PBE.

Cell: 5.376 5.376 3.501 Å, 90.00 90.00 120.00°
Atoms (fractional coordinates):
1 Nd 0.000 0.000 0.000
2 Pu 0.333 0.667 0.397
3 Tl 0.667 0.333 0.664

DFT formation energy in eV per atom: 0.01

# 4
This record from the Alexandria database describes crystalline Nd2PuTl3 at its relaxed geometry. The functional is PBE.

Cell: 3.533 3.533 13.800 Å, 90.00 90.00 90.00°
Atoms (fractional coordinates):
1 Nd 0.000 0.000 0.167
2 Nd 0.000 0.000 0.833
3 Pu 0.000 0.000 0.500
4 Tl 0.500 0.500 0.000
5 Tl 0.500 0.500 0.335
6 Tl 0.500 0.500 0.665

DFT formation energy in eV per atom: -0.25

# 5
This record from the Alexandria database describes crystalline NdPu2Tl9 at its relaxed geometry. The functional is PBE.

Cell: 4.798 4.798 14.431 Å, 90.00 90.00 90.00°
Atoms (fractional coordinates):
1 Nd 0.000 0.000 0.000
2 Pu 0.000 0.000 0.333
3 Pu 0.000 0.000 0.667
4 Tl 0.000 0.500 0.169
5 Tl 0.000 0.500 0.500
6 Tl 0.000 0.500 0.831
7 Tl 0.500 0.000 0.169
8 Tl 0.500 0.000 0.500
9 Tl 0.500 0.000 0.831
10 Tl 0.500 0.500 0.000
11 Tl 0.500 0.500 0.335
12 Tl 0.500 0.500 0.665

DFT formation energy in eV per atom: -0.13

# 6
This record from the Alexandria database describes crystalline NdPu4Tl5 at its relaxed geometry. The functional is PBE.

Cell: 3.366 3.366 24.087 Å, 90.00 90.00 90.00°
Atoms (fractional coordinates):
1 Nd 0.000 0.000 0.000
2 Pu 0.000 0.000 0.201
3 Pu 0.000 0.000 0.401
4 Pu 0.000 0.000 0.599
5 Pu 0.000 0.000 0.799
6 Tl 0.500 0.500 0.101
7 Tl 0.500 0.500 0.301
8 Tl 0.500 0.500 0.500
9 Tl 0.500 0.500 0.699
10 Tl 0.500 0.500 0.899

DFT formation energy in eV per atom: -0.09

# 7
This record from the Alexandria database describes crystalline Nd6PuTl5 at its relaxed geometry. The functional is PBE.

Cell: 9.618 9.618 9.618 Å, 146.43 132.63 59.30°
Atoms (fractional coordinates):
1 Nd 0.082 0.332 0.749
2 Nd 0.247 0.000 0.247
3 Nd 0.417 0.668 0.749
4 Nd 0.583 0.332 0.251
5 Nd 0.753 0.000 0.753
6 Nd 0.918 0.668 0.251
7 Pu 0.500 0.500 0.000
8 Tl 0.000 0.500 0.500
9 Tl 0.167 0.167 0.000
10 Tl 0.341 0.841 0.500
11 Tl 0.659 0.159 0.500
12 Tl 0.833 0.833 0.000

DFT formation energy in eV per atom: -0.27

# 8
This record from the Alexandria database describes crystalline Nd2PuTl4 at its relaxed geometry. The functional is PBE.

Cell: 5.380 5.380 7.637 Å, 90.00 90.00 90.00°
Atoms (fractional coordinates):
1 Nd 0.000 0.000 0.000
2 Nd 0.500 0.500 0.500
3 Pu 0.000 0.000 0.500
4 Tl 0.000 0.500 0.233
5 Tl 0.000 0.500 0.767
6 Tl 0.500 0.000 0.233
7 Tl 0.500 0.000 0.767

DFT formation energy in eV per atom: -0.12